Compound: Mg2ReSi
Source: Alexandria via LeMat-Bulk
Functional: PBE
Structure: optimized geometry

Properties
- density (Mg/m³) = 6.168
- raw total energy (eV per atom) = -4.594
- SG = No. 122
- formation energy from raw total energies (meV per atom) = 672

POSCAR file:
```
Mg2ReSi
1.0
-4.831 -3.653 -4.459
1.776 -6.479 3.382
-3.352 -4.693 1.133
Re Mg Si
2 4 2
Direct
0.750 0.250 0.500 Re
0.000 0.000 0.000 Re
0.875 0.858 0.750 Mg
0.608 0.125 0.250 Mg
0.375 0.392 0.750 Mg
0.142 0.625 0.250 Mg
0.500 0.500 0.000 Si
0.250 0.750 0.500 Si
```

=====

Compound: PrTh2Pb
Source: Alexandria via LeMat-Bulk
Functional: PBE
Structure: optimized geometry

Properties
- density (Mg/m³) = 10.830
- raw total energy (eV per atom) = -6.032
- SG = No. 123
- calculated formation energy (meV per atom) = -199.6
- offset from the most stable computed form (kJ/mol of formula units) = 0.0

POSCAR file:
```
PrTh2Pb
1.0
-4.935 0.968 1.149
-1.413 -3.594 -3.037
0.231 -3.220 3.704
Pb Pr Th
1 1 2
Direct
0.500 0.000 0.000 Pb
0.500 0.500 0.500 Pr
0.000 0.500 0.000 Th
0.000 0.000 0.500 Th
```

=====

Compound: Ac2CoSnPt6
Source: Alexandria via LeMat-Bulk
Functional: PBE
Structure: optimized geometry

Properties
- density (Mg/m³) = 13.588
- raw total energy (eV per atom) = -6.263
- SG = No. 12
- calculated formation energy (meV per atom) = -706.3

POSCAR file:
```
Ac2CoSnPt6
1.0
5.567 -0.011 0.007
0.017 8.721 0.078
2.787 4.429 4.580
Pt Ac Sn Co
6 2 1 1
Direct
0.761 0.249 0.988 Pt
0.239 0.751 0.012 Pt
0.755 0.609 0.491 Pt
0.245 0.391 0.509 Pt
0.251 0.249 0.988 Pt
0.749 0.751 0.012 Pt
0.740 0.201 0.521 Ac
0.260 0.799 0.479 Ac
0.500 0.500 0.000 Sn
0.000 0.000 0.000 Co
```

=====

- What is the raw total energy in the third record?
  -6.263 eV per atom